The following is a GGA-PBE calculation of a relaxed structure of MnVCo, from the Alexandria database.

Cell and atoms, written as POSCAR:
```
MnVCo
1.0
-3.955 0.195 0.369
-2.422 -1.328 -3.827
-0.341 -4.797 -1.115
Mn V Co
2 2 2
Direct
0.952 0.758 0.640
0.280 0.102 0.805
0.289 0.084 0.315
0.606 0.450 0.970
0.624 0.414 0.487
0.945 0.772 0.133
```

Results
Relative energy among the computed polymorphs (kJ/mol of atoms): 4.6
DFT formation energy (meV/atom): -43

The following is a GGA-PBE calculation of a relaxed structure of Y6CdSe3, from the Alexandria database.

Cell and atoms, written as POSCAR:
```
Y6CdSe3
1.0
-2.479 2.323 2.036
-8.042 -8.910 0.376
7.166 -0.836 9.678
Y Se Cd
12 6 2
Direct
0.750 0.498 0.638
0.750 0.724 0.260
0.250 0.873 0.528
0.750 0.921 0.095
0.250 0.079 0.905
0.750 0.378 0.065
0.250 0.202 0.252
0.750 0.798 0.748
0.250 0.276 0.740
0.250 0.622 0.935
0.750 0.127 0.472
0.250 0.502 0.362
0.750 0.443 0.852
0.250 0.557 0.148
0.750 0.671 0.491
0.250 0.329 0.509
0.250 0.852 0.922
0.750 0.148 0.078
0.250 0.947 0.302
0.750 0.053 0.698
```

Results
Uncorrected formation energy (eV/atom): -1.059

The following is a GGA-PBE calculation of a relaxed structure of MnTePd6, from the Alexandria database.

Cell and atoms, written as POSCAR:
```
MnTePd6
1.0
-0.364 3.988 0.279
-3.115 -0.459 2.491
4.975 0.019 6.225
Pd Mn Te
6 1 1
Direct
0.000 0.500 0.741
0.500 0.500 0.000
0.500 0.500 0.500
0.000 0.500 0.259
0.500 0.000 0.259
0.500 0.000 0.741
0.000 0.000 0.500
0.000 0.000 0.000
```

Results
Uncorrected formation energy (eV/atom): -0.218
Relative energy among the computed polymorphs (kJ/mol of atoms): 0.0

The following is a GGA-PBE calculation of a relaxed structure of Nd2Ga3Ir, from the Alexandria database.

Cell and atoms, written as POSCAR:
```
Nd2Ga3Ir
1.0
4.056 0.000 1.699
1.805 5.313 1.382
-0.098 -0.099 5.925
Ga Ir Nd
3 1 2
Direct
0.171 0.751 0.908
0.826 0.244 0.105
0.846 0.612 0.696
0.159 0.382 0.299
0.550 0.208 0.691
0.448 0.803 0.301
```

Results
DFT formation energy (meV/atom): -690

The following is a GGA-PBE calculation of a relaxed structure of GaCo3I, from the Alexandria database.

Cell and atoms, written as POSCAR:
```
GaCo3I
1.0
4.642 0.000 0.000
0.000 4.642 0.000
0.000 0.000 4.642
I Co Ga
1 3 1
Direct
0.000 0.000 0.000
0.500 0.000 0.000
0.000 0.000 0.500
0.000 0.500 0.000
0.500 0.500 0.500
```

Results
Uncorrected formation energy (eV/atom): 1.329
Relative energy among the computed polymorphs (kJ/mol of atoms): 27.8

The following is a GGA-PBE calculation of a relaxed structure of RbNaTm2Cl8, from the Alexandria database.

Cell and atoms, written as POSCAR:
```
RbNaTm2Cl8
1.0
-1.261 -0.530 6.873
6.437 -1.155 1.617
1.232 8.049 0.847
Cl Tm Na Rb
8 2 1 1
Direct
0.204 0.745 0.225
0.361 0.307 0.500
0.204 0.745 0.775
0.650 0.701 0.000
0.639 0.693 0.500
0.796 0.255 0.225
0.350 0.299 0.000
0.796 0.255 0.775
0.500 0.500 0.756
0.500 0.500 0.244
0.000 0.000 0.000
0.000 0.000 0.500
```

Results
Uncorrected formation energy (eV/atom): -2.127